## CaCo2NCl (PBE-GGA)

Data for a relaxed CaCo2NCl crystal.

abc: 3.689 5.767 3.689
angles: 90.00 90.00 90.00
Site moments in Bohr magnetons follow the coordinates.
Fractional positions:
1 Co 0.500 0.000 0.000  0.56
2 Co 0.000 0.000 0.500  0.48
3 Ca 0.000 0.500 0.000  -0.01
4 Cl 0.500 0.500 0.500  0.00
5 N 0.000 0.000 0.000  -0.01

Calculated values
formation energy from raw total energies	-2.45	eV/f.u.
energy	-5.7662	eV/atom
spin magnetization	0.192	μB/atom